Record 1
First-principles (GGA-PBE) data for Ac2DyHgS5 after structural relaxation, as listed in Alexandria via LeMat-Bulk.

Theoretical density: 7.2 g/cm³
Total DFT energy (no corrections): -48.877 eV/f.u.
Formation energy from raw total energies: -1.680 eV per atom
Fermi-level density of states: 1.6 states/eV/f.u.

Cell lengths 8.982, 8.982, 12.478 Å; angles 90.00, 90.00, 153.56 degrees
Sites, in units of the cell vectors:
Ac: 0.120 0.880 0.500
Ac: 0.134 0.866 0.120
Ac: 0.866 0.134 0.620
Ac: 0.880 0.120 0.000
Dy: 0.199 0.801 0.820
Dy: 0.801 0.199 0.320
Hg: 0.469 0.531 0.273
Hg: 0.531 0.469 0.773
S: 0.048 0.952 0.887
S: 0.291 0.709 0.471
S: 0.309 0.691 0.168
S: 0.353 0.647 0.814
S: 0.495 0.505 0.579
S: 0.505 0.495 0.079
S: 0.647 0.353 0.314
S: 0.691 0.309 0.668
S: 0.709 0.291 0.971
S: 0.952 0.048 0.387

=====

Record 2
First-principles (GGA-PBE) data for AcDyHgSb after structural relaxation, as listed in Alexandria via LeMat-Bulk.

Theoretical density: 9.8 g/cm³
Total DFT energy (no corrections): -15.508 eV/f.u.
Formation energy from raw total energies: -0.593 eV per atom
Fermi-level density of states: 4.5 states/eV/f.u.

Cell lengths 5.541, 5.541, 5.541 Å; angles 60.00, 60.00, 60.00 degrees
Sites, in units of the cell vectors:
Ac: 0.000 0.000 0.000
Dy: 0.500 0.500 0.500
Hg: 0.750 0.750 0.750
Sb: 0.250 0.250 0.250

=====

What did the second record say?
First-principles (GGA-PBE) data for AcDyHgSb after structural relaxation, as listed in Alexandria via LeMat-Bulk.

Theoretical density: 9.8 g/cm³
Total DFT energy (no corrections): -15.508 eV/f.u.
Formation energy from raw total energies: -0.593 eV per atom
Fermi-level density of states: 4.5 states/eV/f.u.

Cell lengths 5.541, 5.541, 5.541 Å; angles 60.00, 60.00, 60.00 degrees
Sites, in units of the cell vectors:
Ac: 0.000 0.000 0.000
Dy: 0.500 0.500 0.500
Hg: 0.750 0.750 0.750
Sb: 0.250 0.250 0.250

=====

What did the first record say?
First-principles (GGA-PBE) data for Ac2DyHgS5 after structural relaxation, as listed in Alexandria via LeMat-Bulk.

Theoretical density: 7.2 g/cm³
Total DFT energy (no corrections): -48.877 eV/f.u.
Formation energy from raw total energies: -1.680 eV per atom
Fermi-level density of states: 1.6 states/eV/f.u.

Cell lengths 8.982, 8.982, 12.478 Å; angles 90.00, 90.00, 153.56 degrees
Sites, in units of the cell vectors:
Ac: 0.120 0.880 0.500
Ac: 0.134 0.866 0.120
Ac: 0.866 0.134 0.620
Ac: 0.880 0.120 0.000
Dy: 0.199 0.801 0.820
Dy: 0.801 0.199 0.320
Hg: 0.469 0.531 0.273
Hg: 0.531 0.469 0.773
S: 0.048 0.952 0.887
S: 0.291 0.709 0.471
S: 0.309 0.691 0.168
S: 0.353 0.647 0.814
S: 0.495 0.505 0.579
S: 0.505 0.495 0.079
S: 0.647 0.353 0.314
S: 0.691 0.309 0.668
S: 0.709 0.291 0.971
S: 0.952 0.048 0.387

=====

- The highest total DFT energy (no corrections) belongs to which entry?
  AcDyHgSb